Pm3NdHo2 | GGA-PBE | relaxed

Output
The calculation puts the energy of formation at 0.333 eV/atom. The volume is 205.4 Å³ per cell.

a = 3.4998 Å, b = 5.9630 Å, c = 10.4300 Å
α = 106.61°, β = 99.66°, γ = 90.00°
Fractional positions:
Pm 0.0000 0.5000 0.0000
Pm 0.8081 0.8081 0.6163
Pm 0.1919 0.1919 0.3837
Nd 0.0000 0.0000 0.0000
Ho 0.6378 0.6378 0.2757
Ho 0.3622 0.3622 0.7243